1.
{"formula": "Tb2PrHo3Se6", "functional": "PBE", "state": "relaxed", "e_form_raw_ev_per_fu": -21.13, "dft_energy_ev_per_atom": -5.818, "rho_g_cm3": 8.082, "lattice_angstrom": [[3.5342, -6.1542, 0.0000], [3.5342, 6.1542, 0.0000], [-2.3651, 0.0000, 6.7413]], "species": ["Tb", "Tb", "Pr", "Ho", "Ho", "Ho", "Se", "Se", "Se", "Se", "Se", "Se"], "fractional_positions": [[0.1654, 0.8346, 0.0000], [0.8346, 0.1654, 0.0000], [0.5000, 0.5000, 0.0000], [0.0000, 0.0000, 0.5000], [0.3399, 0.6601, 0.5000], [0.6601, 0.3399, 0.5000], [0.0700, 0.4136, 0.7397], [0.2425, 0.2425, 0.2556], [0.4136, 0.0700, 0.7397], [0.5864, 0.9300, 0.2603], [0.7575, 0.7575, 0.7444], [0.9300, 0.5864, 0.2603]]}

2.
{"formula": "CdAsBr2O", "functional": "PBE", "state": "relaxed", "de_polymorph_mev_per_atom": 0.0, "e_form_raw_ev_per_fu": 0.52, "dft_energy_ev_per_atom": -2.669, "rho_g_cm3": 4.599, "lattice_angstrom": [[5.9829, 0.0000, 0.0000], [0.0000, 5.9829, 0.0000], [0.0000, 0.0000, 3.6628]], "species": ["Cd", "As", "Br", "Br", "O"], "fractional_positions": [[0.0000, 0.0000, 0.0000], [0.5000, 0.5000, 0.0000], [0.0000, 0.5000, 0.5000], [0.5000, 0.0000, 0.5000], [0.5000, 0.5000, 0.5000]]}

3.
{"formula": "CsHg3Se3", "functional": "PBE", "state": "relaxed", "de_polymorph_mev_per_atom": 8.3, "e_form_raw_ev_per_fu": -2.57, "dft_energy_ev_per_atom": -2.112, "rho_g_cm3": 6.361, "lattice_angstrom": [[4.0779, 2.3544, 8.8051], [-4.0779, 2.3544, 8.8051], [0.0000, -4.7088, 8.8051]], "species": ["Cs", "Cs", "Hg", "Hg", "Hg", "Hg", "Hg", "Hg", "Se", "Se", "Se", "Se", "Se", "Se"], "fractional_positions": [[0.1666, 0.1666, 0.1666], [0.8334, 0.8334, 0.8334], [0.0627, 0.3782, 0.7074], [0.2926, 0.9373, 0.6218], [0.3782, 0.7074, 0.0627], [0.6218, 0.2926, 0.9373], [0.7074, 0.0627, 0.3782], [0.9373, 0.6218, 0.2926], [0.0581, 0.7390, 0.4037], [0.2610, 0.5963, 0.9419], [0.4037, 0.0581, 0.7390], [0.5963, 0.9419, 0.2610], [0.7390, 0.4037, 0.0581], [0.9419, 0.2610, 0.5963]]}

4.
{"formula": "SrAcCuAu", "functional": "PBE", "state": "relaxed", "de_polymorph_mev_per_atom": 50.9, "e_form_mev_per_atom": -399, "dft_energy_ev_per_atom": -3.690, "rho_g_cm3": 8.456, "lattice_angstrom": [[0.0000, 3.8365, 3.8365], [3.8365, 0.0000, 3.8365], [3.8365, 3.8365, 0.0000]], "species": ["Sr", "Ac", "Cu", "Au"], "fractional_positions": [[0.0000, 0.0000, 0.0000], [0.5000, 0.5000, 0.5000], [0.2500, 0.2500, 0.2500], [0.7500, 0.7500, 0.7500]]}

5.
{"formula": "Tb6Dy12Er", "functional": "PBE", "state": "relaxed", "de_polymorph_mev_per_atom": 0.0, "e_form_mev_per_atom": 155, "dft_energy_ev_per_atom": -4.454, "rho_g_cm3": 8.340, "lattice_angstrom": [[5.9236, 3.4200, 5.0300], [-5.9236, 3.4200, 5.0300], [0.0000, -6.8400, 5.0300]], "species": ["Tb", "Tb", "Tb", "Tb", "Tb", "Tb", "Dy", "Dy", "Dy", "Dy", "Dy", "Dy", "Dy", "Dy", "Dy", "Dy", "Dy", "Dy", "Er"], "fractional_positions": [[0.1915, 0.7577, 0.5923], [0.2423, 0.4077, 0.8085], [0.4077, 0.8085, 0.2423], [0.5923, 0.1915, 0.7577], [0.7577, 0.5923, 0.1915], [0.8085, 0.2423, 0.4077], [0.0421, 0.9359, 0.2748], [0.0641, 0.7252, 0.9579], [0.1439, 0.4880, 0.2952], [0.2748, 0.0421, 0.9359], [0.2952, 0.1439, 0.4880], [0.4880, 0.2952, 0.1439], [0.5120, 0.7048, 0.8561], [0.7048, 0.8561, 0.5120], [0.7252, 0.9579, 0.0641], [0.8561, 0.5120, 0.7048], [0.9359, 0.2748, 0.0421], [0.9579, 0.0641, 0.7252], [0.5000, 0.5000, 0.5000]]}

6.
{"formula": "Pr6PdRh2Cl3", "functional": "PBE", "state": "relaxed", "e_form_raw_ev_per_fu": -13.75, "dft_energy_ev_per_atom": -5.656, "rho_g_cm3": 6.153, "lattice_angstrom": [[3.5967, -6.2331, 0.0000], [3.5967, 6.2331, 0.0000], [-2.3909, 0.0000, 7.6078]], "species": ["Pr", "Pr", "Pr", "Pr", "Pr", "Pr", "Pd", "Rh", "Rh", "Cl", "Cl", "Cl"], "fractional_positions": [[0.0887, 0.4311, 0.7932], [0.2260, 0.2260, 0.2068], [0.4311, 0.0887, 0.7932], [0.5689, 0.9113, 0.2068], [0.7740, 0.7740, 0.7932], [0.9113, 0.5689, 0.2068], [0.5000, 0.5000, 0.0000], [0.1665, 0.8335, 0.0000], [0.8335, 0.1665, 0.0000], [0.0000, 0.0000, 0.5000], [0.3291, 0.6709, 0.5000], [0.6709, 0.3291, 0.5000]]}

| no. | spin magnetization (μB per formula unit) |
| --- | --- |
| 1 | 0.00 |
| 2 | 0.00 |
| 3 | 0.00 |
| 4 | 0.00 |
| 5 | 0.00 |
| 6 | 0.00 |